! Tm2UMnO8 PBE+U relaxed; values from VASP
! * uncorrected energy: -101.43 eV per formula unit
! * magnetization: 0.2472 μB per atom
&SYSTEM
  ibrav = 0, nat = 12, ntyp = 4
/
ATOMIC_SPECIES
Tm 168.93 Tm.upf
U 238.03 U.upf
Mn 54.94 Mn.upf
O 16.00 O.upf
CELL_PARAMETERS angstrom
3.4170 -3.5469 0.0000
3.4170 3.5469 0.0000
0.0000 0.0000 6.6051
ATOMIC_POSITIONS crystal
Tm 0.0000 0.0000 0.2347
Tm 0.0000 0.0000 0.7653
U 0.5000 0.5000 0.5000
Mn 0.5000 0.5000 0.0000
O 0.2023 0.2023 0.5000
O 0.2204 0.2204 0.0000
O 0.3212 0.6788 0.2394
O 0.3212 0.6788 0.7606
O 0.6788 0.3212 0.2394
O 0.6788 0.3212 0.7606
O 0.7796 0.7796 0.0000
O 0.7977 0.7977 0.5000